{"formula": "RbCr3Se", "functional": "PBE", "state": "relaxed", "lattice_angstrom": [[-0.8277, -3.2932, -3.9354], [5.0091, -1.3840, 0.1047], [-1.1142, -3.7758, 3.3940]], "species": ["Cr", "Cr", "Cr", "Se", "Rb"], "fractional_positions": [[0.0000, 0.5000, 0.0000], [0.0000, 0.0000, 0.5000], [0.5000, 0.0000, 0.0000], [0.0000, 0.0000, 0.0000], [0.5000, 0.5000, 0.5000]], "space_group": "No. 221", "de_polymorph_ev_per_atom": 0.000, "formation_energy_uncorrected_kcal_per_mol_atoms": 21.314}